# Li2HfZrSn2Ir2

A relaxed structure of Li2HfZrSn2Ir2 (GGA-PBE, OQMD).

Structure (POSCAR):
```
Li2HfZrSn2Ir2
1.0
4.574 0.000 0.000
0.000 4.574 0.000
0.000 0.000 6.469
Li Hf Zr Sn Ir
2 1 1 2 2
Cartesian
0.000 2.287 1.620
2.287 0.000 4.850
0.000 0.000 3.235
2.287 2.287 0.000
0.000 0.000 0.000
2.287 2.287 3.235
0.000 2.287 4.833
2.287 0.000 1.636
```

Computed properties:
magnetization: 0.01 μB per formula unit
E: -6.761 eV per atom